No. 1
First-principles (PBE) data for an optimized crystal structure of CoRe2Ni, as listed in Alexandria.

Results
**Space-group type**: No. 160
**ΔE_f**: 0.1590 eV per atom

abc: 8.618 8.618 8.618
angles: 18.03 18.03 18.03
Each line ends with the local moment (μB).
Atoms (fractional coordinates):
Ni: 0.753 0.753 0.753  0.51
Co: 0.497 0.497 0.497  1.59
Re: 0.247 0.247 0.247  0.09
Re: 0.002 0.002 0.002  0.12

No. 2
First-principles (PBE) data for an optimized crystal structure of Al2NiPt5, as listed in Alexandria.

Results
**Space-group type**: No. 55
**ΔE_f**: -0.6898 eV per atom

abc: 3.923 5.453 10.860
angles: 90.00 90.00 90.00
Each line ends with the local moment (μB).
Atoms (fractional coordinates):
Al: 0.500 0.768 0.126  0.00
Al: 0.500 0.732 0.626  0.00
Al: 0.500 0.232 0.874  0.00
Al: 0.500 0.268 0.374  0.00
Pt: 0.500 0.774 0.384  0.04
Pt: 0.500 0.726 0.884  0.04
Pt: 0.000 0.500 0.500  0.03
Pt: 0.000 0.000 0.000  0.03
Pt: 0.000 0.963 0.742  0.03
Pt: 0.000 0.537 0.242  0.03
Pt: 0.500 0.274 0.116  0.04
Pt: 0.000 0.463 0.758  0.03
Pt: 0.500 0.226 0.616  0.04
Pt: 0.000 0.037 0.258  0.03
Ni: 0.000 0.000 0.500  0.17
Ni: 0.000 0.500 0.000  0.17

No. 3
First-principles (PBE) data for an optimized crystal structure of CdPtSe2, as listed in Alexandria.

Results
**E_form (uncorrected)**: -0.347 eV/atom
**Space-group type**: No. 12

abc: 6.452 6.452 4.786
angles: 75.57 75.57 33.57
Atoms (fractional coordinates):
Cd: 0.750 0.750 0.750
Se: 0.611 0.611 0.422
Se: 0.889 0.889 0.078
Pt: 0.250 0.250 0.250